Record 1
{
  "formula": "MgTcTeO",
  "functional": "PBE",
  "state": "optimized geometry",
  "cell": [[-0.510, -2.760, 1.934], [-1.725, -1.562, -2.684], [10.576, -4.772, -4.022]],
  "species": ["Mg", "Mg", "Tc", "Tc", "Te", "Te", "O", "O"],
  "fractional_positions": [[0.500, 0.000, 0.101], [0.500, 0.500, 0.601], [0.000, 0.000, 0.424], [0.000, 0.500, 0.924], [0.000, 0.000, 0.764], [0.000, 0.500, 0.264], [0.000, 0.000, 0.025], [0.000, 0.500, 0.525]],
  "mass_density_g_cm3": 5.94,
  "space_group": "Amm2",
  "e_form_raw_ev_per_atom": -0.479
}

---

Record 2
{
  "formula": "MgTcTeO",
  "functional": "PBE",
  "state": "optimized geometry",
  "cell": [[3.044, 0.020, 0.004], [1.512, 4.691, 0.007], [1.523, -0.075, 5.324]],
  "species": ["Mg", "Tc", "Te", "O"],
  "fractional_positions": [[0.806, 0.282, 0.749], [0.111, 0.200, 0.223], [0.910, 0.760, 0.070], [0.440, 0.265, 0.498]],
  "mass_density_g_cm3": 5.82,
  "space_group": "P1",
  "e_form_raw_ev_per_atom": -0.590
}